A plane-wave DFT calculation with PBE was carried out for NaSr4H10 after structural relaxation.

abc: 15.408 15.408 15.408
angles: 15.33 15.33 15.33
Positions (direct):
Na: 0.000 0.000 0.000
Sr: 0.204 0.204 0.204
Sr: 0.388 0.388 0.388
Sr: 0.612 0.612 0.612
Sr: 0.796 0.796 0.796
H: 0.047 0.047 0.047
H: 0.148 0.148 0.148
H: 0.257 0.257 0.257
H: 0.323 0.323 0.323
H: 0.445 0.445 0.445
H: 0.555 0.555 0.555
H: 0.677 0.677 0.677
H: 0.743 0.743 0.743
H: 0.852 0.852 0.852
H: 0.953 0.953 0.953

---

A plane-wave DFT calculation with PBE was carried out for Hf5Ti3H12 after structural relaxation.

abc: 9.942 9.942 9.942
angles: 109.47 109.47 109.47
Positions (direct):
Hf: 0.000 0.000 0.000
Hf: 0.000 0.000 0.500
Hf: 0.000 0.500 0.000
Hf: 0.000 0.500 0.500
Hf: 0.125 0.750 0.875
Hf: 0.125 0.875 0.250
Hf: 0.250 0.125 0.875
Hf: 0.250 0.625 0.375
Hf: 0.375 0.250 0.625
Hf: 0.375 0.625 0.750
Hf: 0.500 0.000 0.000
Hf: 0.500 0.000 0.500
Hf: 0.500 0.500 0.000
Hf: 0.500 0.500 0.500
Hf: 0.625 0.375 0.250
Hf: 0.625 0.750 0.375
Hf: 0.750 0.375 0.625
Hf: 0.750 0.875 0.125
Hf: 0.875 0.125 0.750
Hf: 0.875 0.250 0.125
Ti: 0.125 0.250 0.375
Ti: 0.125 0.375 0.750
Ti: 0.250 0.375 0.125
Ti: 0.250 0.875 0.625
Ti: 0.375 0.125 0.250
Ti: 0.375 0.750 0.125
Ti: 0.625 0.250 0.875
Ti: 0.625 0.875 0.750
Ti: 0.750 0.125 0.375
Ti: 0.750 0.625 0.875
Ti: 0.875 0.625 0.250
Ti: 0.875 0.750 0.625
H: 0.070 0.729 0.655
H: 0.070 0.841 0.415
H: 0.074 0.229 0.159
H: 0.074 0.345 0.915
H: 0.085 0.659 0.430
H: 0.085 0.926 0.655
H: 0.155 0.229 0.570
H: 0.155 0.426 0.585
H: 0.159 0.074 0.229
H: 0.159 0.585 0.930
H: 0.229 0.159 0.074
H: 0.229 0.570 0.155
H: 0.271 0.345 0.930
H: 0.271 0.426 0.341
H: 0.341 0.271 0.426
H: 0.341 0.570 0.915
H: 0.345 0.915 0.074
H: 0.345 0.930 0.271
H: 0.415 0.070 0.841
H: 0.415 0.845 0.574
H: 0.426 0.341 0.271
H: 0.426 0.585 0.155
H: 0.430 0.085 0.659
H: 0.430 0.845 0.771
H: 0.570 0.155 0.229
H: 0.570 0.915 0.341
H: 0.574 0.415 0.845
H: 0.574 0.659 0.729
H: 0.585 0.155 0.426
H: 0.585 0.930 0.159
H: 0.655 0.070 0.729
H: 0.655 0.085 0.926
H: 0.659 0.430 0.085
H: 0.659 0.729 0.574
H: 0.729 0.574 0.659
H: 0.729 0.655 0.070
H: 0.771 0.430 0.845
H: 0.771 0.841 0.926
H: 0.841 0.415 0.070
H: 0.841 0.926 0.771
H: 0.845 0.574 0.415
H: 0.845 0.771 0.430
H: 0.915 0.074 0.345
H: 0.915 0.341 0.570
H: 0.926 0.655 0.085
H: 0.926 0.771 0.841
H: 0.930 0.159 0.585
H: 0.930 0.271 0.345

---

A plane-wave DFT calculation with PBE was carried out for Y2Zr2Ge after structural relaxation.

abc: 7.293 7.293 4.839
angles: 90.00 90.00 90.00
Positions (direct):
Y: 0.160 0.340 0.000
Y: 0.340 0.840 0.000
Y: 0.660 0.160 0.000
Y: 0.840 0.660 0.000
Zr: 0.145 0.645 0.500
Zr: 0.355 0.145 0.500
Zr: 0.645 0.855 0.500
Zr: 0.855 0.355 0.500
Ge: 0.000 0.000 0.500
Ge: 0.500 0.500 0.500

Values from the calculation:
Formation enthalpy at 0 K in kJ/mol of atoms: -14.56

---

A plane-wave DFT calculation with PBE was carried out for Tl8TeSe3 after structural relaxation.

abc: 8.125 8.125 8.125
angles: 67.02 67.02 67.02
Positions (direct):
Tl: 0.242 0.242 0.242
Tl: 0.258 0.733 0.733
Tl: 0.267 0.267 0.742
Tl: 0.267 0.742 0.267
Tl: 0.733 0.258 0.733
Tl: 0.733 0.733 0.258
Tl: 0.742 0.267 0.267
Tl: 0.758 0.758 0.758
Te: 0.000 0.000 0.000
Se: 0.000 0.500 0.500
Se: 0.500 0.000 0.500
Se: 0.500 0.500 0.000

Values from the calculation:
Formation energy from raw total energies in kJ/mol of atoms: -33

---

A plane-wave DFT calculation with PBE was carried out for Cs3Ac3BiSe8 after structural relaxation.

abc: 9.073 9.073 10.067
angles: 116.82 116.82 59.99
Positions (direct):
Cs: 0.000 0.000 0.000
Cs: 0.000 0.500 0.000
Cs: 0.500 0.000 0.000
Ac: 0.000 0.500 0.500
Ac: 0.500 0.000 0.500
Ac: 0.500 0.500 0.500
Bi: 0.000 0.000 0.500
Se: 0.221 0.221 0.688
Se: 0.221 0.747 0.688
Se: 0.253 0.779 0.312
Se: 0.268 0.268 0.304
Se: 0.732 0.732 0.696
Se: 0.747 0.221 0.688
Se: 0.779 0.253 0.312
Se: 0.779 0.779 0.312

Values from the calculation:
Formation energy from raw total energies in kJ/mol of atoms: -140

---

A plane-wave DFT calculation with PBE was carried out for Mo3W after structural relaxation.

abc: 2.745 4.468 5.265
angles: 90.00 99.73 90.00
Positions (direct):
Mo: 0.000 0.000 0.000
Mo: 0.248 0.500 0.750
Mo: 0.752 0.500 0.250
W: 0.500 0.000 0.500

Values from the calculation:
Energy relative to the lowest polymorph listed for this composition in meV per atom: 0
Formation enthalpy at 0 K in kJ/mol of atoms: -1.89

---

A plane-wave DFT calculation with PBE was carried out for Th7Ga5Au after structural relaxation.

abc: 8.100 8.100 8.100
angles: 135.53 99.80 96.67
Positions (direct):
Th: 0.000 0.000 0.000
Th: 0.296 0.621 0.675
Th: 0.380 0.380 0.000
Th: 0.433 0.100 0.332
Th: 0.768 0.100 0.668
Th: 0.843 0.343 0.500
Th: 0.945 0.621 0.325
Ga: 0.109 0.101 0.480
Ga: 0.109 0.629 0.007
Ga: 0.357 0.857 0.500
Ga: 0.621 0.101 0.993
Ga: 0.621 0.629 0.520
Au: 0.674 0.674 0.000

Values from the calculation:
Formation enthalpy at 0 K in kJ/mol of atoms: -26.27

---

A plane-wave DFT calculation with PBE was carried out for Np2TeAs after structural relaxation.

abc: 8.123 8.123 8.123
angles: 28.42 28.42 28.42
Positions (direct):
Np: 0.000 0.000 0.000
Np: 0.185 0.185 0.185
Te: 0.424 0.424 0.424
As: 0.593 0.593 0.593

Values from the calculation:
Energy relative to the lowest polymorph listed for this composition in meV per atom: 103
Formation energy from raw total energies in kJ/mol of atoms: -52

---

Looking at energy for the records above, in order, we have -3.11 -6.08 -7.08 -3.05 -4.56 -11.38 -5.68 -8.96 eV per atom.